The following is a DFT calculation (GGA-PBE) of a geometry-optimized Si2TcIr structure.

Geometry as CIF:
```
data_Si2TcIr
_symmetry_space_group_name_H-M 'F -4 3 m'
_symmetry_Int_Tables_number 216
_symmetry_space_group_name_Hall 'F -4 2 3'
_cell_length_a 6.1107
_cell_length_b 6.1107
_cell_length_c 6.1107
_cell_angle_alpha 90.00
_cell_angle_beta 90.00
_cell_angle_gamma 90.00
loop_
_atom_site_label
_atom_site_fract_x
_atom_site_fract_y
_atom_site_fract_z
_atom_site_occupancy
Si1 0.0000 0.0000 0.0000 1
Si2 0.2500 0.2500 0.2500 1
Tc1 0.0000 0.0000 0.5000 1
Ir1 0.2500 0.2500 0.7500 1
```



The following is a DFT calculation (GGA-PBE) of a geometry-optimized Th2Si5Ir3 structure.

Geometry as CIF:
```
data_Th2Si5Ir3
_symmetry_space_group_name_H-M 'I b a m'
_symmetry_Int_Tables_number 72
_symmetry_space_group_name_Hall '-I 2 2c'
_cell_length_a 10.0746
_cell_length_b 11.6242
_cell_length_c 5.9802
_cell_angle_alpha 90.00
_cell_angle_beta 90.00
_cell_angle_gamma 90.00
loop_
_atom_site_label
_atom_site_fract_x
_atom_site_fract_y
_atom_site_fract_z
_atom_site_occupancy
Th1 0.2308 0.1303 0.0000 1
Si1 0.0000 0.0000 0.2500 1
Si2 0.0000 0.2716 0.2500 1
Si3 0.1503 0.3903 0.0000 1
Ir1 0.0000 0.5000 0.2500 1
Ir2 0.1143 0.1383 0.5000 1
```



The following is a DFT calculation (GGA-PBE) of a geometry-optimized ThSi2Ir2 structure.

Geometry as CIF:
```
data_ThSi2Ir2
_symmetry_space_group_name_H-M 'I 4/m m m'
_symmetry_Int_Tables_number 139
_symmetry_space_group_name_Hall '-I 4 2'
_cell_length_a 4.2485
_cell_length_b 4.2485
_cell_length_c 10.0034
_cell_angle_alpha 90.00
_cell_angle_beta 90.00
_cell_angle_gamma 90.00
loop_
_atom_site_label
_atom_site_fract_x
_atom_site_fract_y
_atom_site_fract_z
_atom_site_occupancy
Th1 0.0000 0.0000 0.0000 1
Si1 0.0000 0.5000 0.2500 1
Ir1 0.0000 0.0000 0.3670 1
```



The following is a DFT calculation (GGA-PBE) of a geometry-optimized Th2Si3Ir structure.

Geometry as CIF:
```
data_Th2Si3Ir
_symmetry_space_group_name_H-M 'F m m m'
_symmetry_Int_Tables_number 69
_symmetry_space_group_name_Hall '-F 2 2'
_cell_length_a 8.2315
_cell_length_b 8.5040
_cell_length_c 14.2285
_cell_angle_alpha 90.00
_cell_angle_beta 90.00
_cell_angle_gamma 90.00
loop_
_atom_site_label
_atom_site_fract_x
_atom_site_fract_y
_atom_site_fract_z
_atom_site_occupancy
Th1 0.0000 0.2496 0.0000 1
Th2 0.2500 0.2500 0.2500 1
Si1 0.0000 0.0000 0.1661 1
Si2 0.2491 0.0000 0.0833 1
Ir1 0.0000 0.0000 0.3327 1
```



| no. | DFT total energy (eV per atom) |
| --- | --- |
| 1 | -7.333 |
| 2 | -7.859 |
| 3 | -8.134 |
| 4 | -7.620 |